*1*
DFT (PBEsol) results for a relaxed structure of LaAl3S.

Cell and atoms, written as CIF:
```
data_LaAl3S
_chemical_formula_sum 'La1 Al3 S1'
_space_group_name_H-M_alt 'P m -3 m'
_space_group_IT_number 221
_space_group_name_Hall '-P 4 2 3'
_cell_length_a 4.824
_cell_length_b 4.824
_cell_length_c 4.824
_cell_angle_alpha 90.00
_cell_angle_beta 90.00
_cell_angle_gamma 90.00
loop_
_atom_site_label
_atom_site_type_symbol
_atom_site_fract_x
_atom_site_fract_y
_atom_site_fract_z
La1 La 0.000 0.000 0.000
Al1 Al 0.000 0.500 0.500
S1 S 0.500 0.500 0.500
```

*2*
DFT (PBEsol) results for a relaxed structure of LaAl3S.

Cell and atoms, written as CIF:
```
data_LaAl3S
_chemical_formula_sum 'La1 Al3 S1'
_space_group_name_H-M_alt 'P m -3 m'
_space_group_IT_number 221
_space_group_name_Hall '-P 4 2 3'
_cell_length_a 5.649
_cell_length_b 5.649
_cell_length_c 5.649
_cell_angle_alpha 90.00
_cell_angle_beta 90.00
_cell_angle_gamma 90.00
loop_
_atom_site_label
_atom_site_type_symbol
_atom_site_fract_x
_atom_site_fract_y
_atom_site_fract_z
La1 La 0.000 0.000 0.000
Al1 Al 0.000 0.000 0.500
S1 S 0.500 0.500 0.500
```

The structure with the greatest stability is *1*.

*1*
DFT (PBEsol) results for a relaxed structure of LaScAl2.

Cell and atoms, written as CIF:
```
data_LaScAl2
_chemical_formula_sum 'La1 Sc1 Al2'
_space_group_name_H-M_alt 'P 4/m m m'
_space_group_IT_number 123
_space_group_name_Hall '-P 4 2'
_cell_length_a 3.534
_cell_length_b 3.534
_cell_length_c 7.185
_cell_angle_alpha 90.00
_cell_angle_beta 90.00
_cell_angle_gamma 90.00
loop_
_atom_site_label
_atom_site_type_symbol
_atom_site_fract_x
_atom_site_fract_y
_atom_site_fract_z
La1 La 0.000 0.000 0.000
Sc1 Sc 0.000 0.000 0.500
Al1 Al 0.500 0.500 0.291
```

*2*
DFT (PBEsol) results for a relaxed structure of LaScAl2.

Cell and atoms, written as CIF:
```
data_LaScAl2
_chemical_formula_sum 'La2 Sc2 Al4'
_space_group_name_H-M_alt 'I -4 m 2'
_space_group_IT_number 119
_space_group_name_Hall 'I -4 -2'
_cell_length_a 4.421
_cell_length_b 4.421
_cell_length_c 9.177
_cell_angle_alpha 90.00
_cell_angle_beta 90.00
_cell_angle_gamma 90.00
loop_
_atom_site_label
_atom_site_type_symbol
_atom_site_fract_x
_atom_site_fract_y
_atom_site_fract_z
La1 La 0.000 0.000 0.000
Sc1 Sc 0.000 0.500 0.250
Al1 Al 0.000 0.000 0.500
Al2 Al 0.000 0.500 0.750
```

The structure with the greatest stability is *1*.

*1*
DFT (PBEsol) results for a relaxed structure of LaScAl2.

Cell and atoms, written as CIF:
```
data_LaScAl2
_chemical_formula_sum 'La4 Sc4 Al8'
_space_group_name_H-M_alt 'F m -3 m'
_space_group_IT_number 225
_space_group_name_Hall '-F 4 2 3'
_cell_length_a 7.109
_cell_length_b 7.109
_cell_length_c 7.109
_cell_angle_alpha 90.00
_cell_angle_beta 90.00
_cell_angle_gamma 90.00
loop_
_atom_site_label
_atom_site_type_symbol
_atom_site_fract_x
_atom_site_fract_y
_atom_site_fract_z
La1 La 0.000 0.000 0.000
Sc1 Sc 0.000 0.000 0.500
Al1 Al 0.250 0.250 0.250
```

*2*
DFT (PBEsol) results for a relaxed structure of LaScAl2.

Cell and atoms, written as CIF:
```
data_LaScAl2
_chemical_formula_sum 'La1 Sc1 Al2'
_space_group_name_H-M_alt 'P m m m'
_space_group_IT_number 47
_cell_length_a 3.207
_cell_length_b 4.069
_cell_length_c 6.895
_cell_angle_alpha 90.00
_cell_angle_beta 90.00
_cell_angle_gamma 90.00
loop_
_space_group_symop_operation_xyz
'x,y,z'
'-x,-y,-z'
'-x,-y,z'
'x,y,-z'
'x,-y,-z'
'-x,y,z'
'-x,y,-z'
'x,-y,z'
loop_
_atom_site_label
_atom_site_type_symbol
_atom_site_fract_x
_atom_site_fract_y
_atom_site_fract_z
La1 La 0.000 0.000 0.000
Sc1 Sc 0.000 0.000 0.500
Al1 Al 0.500 0.500 0.296
```

The structure with the greatest stability is *2*.

*1*
DFT (PBEsol) results for a relaxed structure of LaAlSe.

Cell and atoms, written as CIF:
```
data_LaAlSe
_chemical_formula_sum 'La1 Al1 Se1'
_space_group_name_H-M_alt 'P 3 m 1'
_space_group_IT_number 156
_cell_length_a 3.6216
_cell_length_b 3.6216
_cell_length_c 6.4919
_cell_angle_alpha 90.00
_cell_angle_beta 90.00
_cell_angle_gamma 120.00
loop_
_space_group_symop_operation_xyz
'x,y,z'
'-y,x-y,z'
'-x+y,-x,z'
'-y,-x,z'
'-x+y,y,z'
'x,x-y,z'
loop_
_atom_site_label
_atom_site_type_symbol
_atom_site_fract_x
_atom_site_fract_y
_atom_site_fract_z
La1 La 0.0000 0.0000 0.0000
Al1 Al 0.3333 0.6667 0.4071
Se1 Se 0.6667 0.3333 0.6463
```

*2*
DFT (PBEsol) results for a relaxed structure of LaAlSe.

Cell and atoms, written as CIF:
```
data_LaAlSe
_chemical_formula_sum 'La4 Al4 Se4'
_space_group_name_H-M_alt 'F -4 3 m'
_space_group_IT_number 216
_space_group_name_Hall 'F -4 2 3'
_cell_length_a 6.886
_cell_length_b 6.886
_cell_length_c 6.886
_cell_angle_alpha 90.00
_cell_angle_beta 90.00
_cell_angle_gamma 90.00
loop_
_atom_site_label
_atom_site_type_symbol
_atom_site_fract_x
_atom_site_fract_y
_atom_site_fract_z
La1 La 0.000 0.000 0.000
Al1 Al 0.000 0.000 0.500
Se1 Se 0.250 0.250 0.250
```

The structure with the greatest stability is *1*.

*1*
DFT (PBEsol) results for a relaxed structure of LaAlSe2.

Cell and atoms, written as CIF:
```
data_LaAlSe2
_chemical_formula_sum 'La1 Al1 Se2'
_space_group_name_H-M_alt 'P 1 m 1'
_space_group_IT_number 6
_cell_length_a 4.156
_cell_length_b 4.155
_cell_length_c 5.859
_cell_angle_alpha 90.00
_cell_angle_beta 109.76
_cell_angle_gamma 90.00
loop_
_space_group_symop_operation_xyz
'x,y,z'
'x,-y,z'
loop_
_atom_site_label
_atom_site_type_symbol
_atom_site_fract_x
_atom_site_fract_y
_atom_site_fract_z
La1 La 0.000 0.000 0.000
Al1 Al 0.658 0.500 0.576
Se1 Se 0.280 0.000 0.575
Se2 Se 0.565 0.500 0.140
```

*2*
DFT (PBEsol) results for a relaxed structure of LaAlSe2.

Cell and atoms, written as CIF:
```
data_LaAlSe2
_chemical_formula_sum 'La3 Al3 Se6'
_space_group_name_H-M_alt 'R -3 m'
_space_group_IT_number 166
_space_group_name_Hall '-R 3 2"'
_cell_length_a 4.2738
_cell_length_b 4.2738
_cell_length_c 25.4776
_cell_angle_alpha 90.00
_cell_angle_beta 90.00
_cell_angle_gamma 120.00
loop_
_atom_site_label
_atom_site_type_symbol
_atom_site_fract_x
_atom_site_fract_y
_atom_site_fract_z
La1 La 0.0000 0.0000 0.0000
Al1 Al 0.0000 0.0000 0.5000
Se1 Se 0.0000 0.0000 0.3979
```

*3*
DFT (PBEsol) results for a relaxed structure of LaAlSe2.

Cell and atoms, written as CIF:
```
data_LaAlSe2
_chemical_formula_sum 'La1 Al1 Se2'
_space_group_name_H-M_alt 'P m m m'
_space_group_IT_number 47
_cell_length_a 3.688
_cell_length_b 3.753
_cell_length_c 6.794
_cell_angle_alpha 90.00
_cell_angle_beta 90.00
_cell_angle_gamma 90.00
loop_
_space_group_symop_operation_xyz
'x,y,z'
'-x,-y,-z'
'-x,-y,z'
'x,y,-z'
'x,-y,-z'
'-x,y,z'
'-x,y,-z'
'x,-y,z'
loop_
_atom_site_label
_atom_site_type_symbol
_atom_site_fract_x
_atom_site_fract_y
_atom_site_fract_z
La1 La 0.000 0.000 0.000
Al1 Al 0.000 0.500 0.500
Se1 Se 0.500 0.500 0.238
```

The structure with the greatest stability is *1*.

*1*
DFT (PBEsol) results for a relaxed structure of LaAl2Tc.

Cell and atoms, written as CIF:
```
data_LaAl2Tc
_chemical_formula_sum 'La3 Al6 Tc3'
_space_group_name_H-M_alt 'R 3 m'
_space_group_IT_number 160
_space_group_name_Hall 'R 3 -2"'
_cell_length_a 2.9917
_cell_length_b 2.9917
_cell_length_c 28.9663
_cell_angle_alpha 90.00
_cell_angle_beta 90.00
_cell_angle_gamma 120.00
loop_
_atom_site_label
_atom_site_type_symbol
_atom_site_fract_x
_atom_site_fract_y
_atom_site_fract_z
La1 La 0.0000 0.0000 0.0000
Al1 Al 0.0000 0.0000 0.2346
Al2 Al 0.0000 0.0000 0.4888
Tc1 Tc 0.0000 0.0000 0.7565
```

*2*
DFT (PBEsol) results for a relaxed structure of LaAl2Tc.

Cell and atoms, written as CIF:
```
data_LaAl2Tc
_chemical_formula_sum 'La4 Al8 Tc4'
_space_group_name_H-M_alt 'F m -3 m'
_space_group_IT_number 225
_space_group_name_Hall '-F 4 2 3'
_cell_length_a 6.713
_cell_length_b 6.713
_cell_length_c 6.713
_cell_angle_alpha 90.00
_cell_angle_beta 90.00
_cell_angle_gamma 90.00
loop_
_atom_site_label
_atom_site_type_symbol
_atom_site_fract_x
_atom_site_fract_y
_atom_site_fract_z
La1 La 0.000 0.000 0.000
Al1 Al 0.250 0.250 0.250
Tc1 Tc 0.000 0.000 0.500
```

*3*
DFT (PBEsol) results for a relaxed structure of LaAl2Tc.

Cell and atoms, written as CIF:
```
data_LaAl2Tc
_chemical_formula_sum 'La4 Al8 Tc4'
_space_group_name_H-M_alt 'I -4 2 d'
_space_group_IT_number 122
_space_group_name_Hall 'I -4 2bw'
_cell_length_a 4.814
_cell_length_b 4.814
_cell_length_c 17.065
_cell_angle_alpha 90.00
_cell_angle_beta 90.00
_cell_angle_gamma 90.00
loop_
_atom_site_label
_atom_site_type_symbol
_atom_site_fract_x
_atom_site_fract_y
_atom_site_fract_z
La1 La 0.000 0.000 0.000
Al1 Al 0.039 0.250 0.625
Tc1 Tc 0.000 0.000 0.500
```

The structure with the greatest stability is *2*.